# 1
{"formula": "Ba2NbSCl", "functional": "PBE-GGA", "state": "optimized geometry", "lattice_angstrom": [[6.1061, 0.0000, 0.0000], [0.0000, 4.7023, 0.0000], [0.0000, 0.0000, 6.1061]], "species": ["S", "Nb", "Ba", "Ba", "Cl"], "frac_coords": [[0.0000, 0.5000, 0.0000], [0.0000, 0.0000, 0.0000], [0.0000, 0.0000, 0.5000], [0.5000, 0.0000, 0.0000], [0.5000, 0.5000, 0.5000]], "crystal_system": "tetragonal"}

# 2
{"formula": "Rb3Np2CdO9", "functional": "PBE-GGA", "state": "optimized geometry", "lattice_angstrom": [[6.1307, 0.0000, 0.0000], [-3.0653, 5.3093, 0.0000], [0.0000, 0.0000, 7.5399]], "species": ["Rb", "Rb", "Rb", "Np", "Np", "Cd", "O", "O", "O", "O", "O", "O", "O", "O", "O"], "frac_coords": [[0.3333, 0.6667, 0.6556], [0.0000, 0.0000, 0.0000], [0.6667, 0.3333, 0.3444], [0.3333, 0.6667, 0.1640], [0.6667, 0.3333, 0.8360], [0.0000, 0.0000, 0.5000], [0.8203, 0.1797, 0.6861], [0.8203, 0.6407, 0.6861], [0.3593, 0.1797, 0.6861], [0.6407, 0.8203, 0.3139], [0.1797, 0.3593, 0.3139], [0.1797, 0.8203, 0.3139], [0.5000, 0.0000, 0.0000], [0.0000, 0.5000, 0.0000], [0.5000, 0.5000, 0.0000]], "crystal_system": "trigonal"}

Q: Which total magnetic moment values were calculated for the entries above? A: 0.0, 1.0, in μB/cell.
Q: Which energy relative to the elements, uncorrected values were calculated for the entries above? A: -0.63, -2.25, in eV/atom.